First-principles (PBE) data for PmGd2Hg after structural relaxation, as listed in the Alexandria database.

Structure (CIF):
```
data_PmGd2Hg
_space_group_name_H-M_alt 'P 1'
_space_group_IT_number 1
_cell_length_a 5.451
_cell_length_b 5.451
_cell_length_c 5.451
_cell_angle_alpha 60.00
_cell_angle_beta 60.00
_cell_angle_gamma 60.00
loop_
_space_group_symop_operation_xyz
'x,y,z'
loop_
_atom_site_label
_atom_site_type_symbol
_atom_site_fract_x
_atom_site_fract_y
_atom_site_fract_z
Gd1 Gd 0.250 0.250 0.250
Gd2 Gd 0.750 0.750 0.750
Hg1 Hg 0.000 0.000 0.000
Pm1 Pm 0.500 0.500 0.500
```

Summary:
- formation energy (eV per atom) = -0.076
- total energy (eV per atom) = -8.380
- density (g cm⁻³) = 9.57
- energy relative to the lowest polymorph listed for this composition (eV/atom) = 0.1622

=====

First-principles (PBE) data for Mg4BiRh2 after structural relaxation, as listed in the Alexandria database.

Structure (CIF):
```
data_Mg4BiRh2
_space_group_name_H-M_alt 'P 1'
_space_group_IT_number 1
_cell_length_a 4.471
_cell_length_b 4.471
_cell_length_c 6.982
_cell_angle_alpha 90.00
_cell_angle_beta 90.00
_cell_angle_gamma 90.00
loop_
_space_group_symop_operation_xyz
'x,y,z'
loop_
_atom_site_label
_atom_site_type_symbol
_atom_site_fract_x
_atom_site_fract_y
_atom_site_fract_z
Mg1 Mg 0.500 0.000 0.288
Mg2 Mg 0.000 0.500 0.712
Mg3 Mg 0.500 0.000 0.712
Mg4 Mg 0.000 0.500 0.288
Bi1 Bi 0.500 0.500 0.000
Rh1 Rh 0.000 0.000 0.000
Rh2 Rh 0.500 0.500 0.500
```

Summary:
- formation energy (eV per atom) = -0.216
- total energy (eV per atom) = -3.782
- density (g cm⁻³) = 6.09

=====

- Which of these has the lowest formation energy?
  Mg4BiRh2

=====

- Number 1 is which compound?
  PmGd2Hg

=====

- total energy of number 2 (Mg4BiRh2)?
  -3.782 eV per atom

=====

- What is the formation energy in the first record?
  -0.076 eV per atom